VASP calculation (SCAN) on a crystal of LaYOs2 relaxed with PBEsol.

POSCAR file:
```
LaYOs2
1.0
-2.642 -1.639 -0.724
2.688 -3.221 -2.519
0.789 -0.707 5.764
La Os Y
1 2 1
Direct
0.268 0.755 0.536
0.027 0.052 0.053
0.721 0.197 0.442
0.484 0.495 0.968
```

Energy of formation from the pure elements = 0.24 eV per formula unit
Energy above the most stable polymorph in this dataset = 301 meV/atom

=====

VASP calculation (SCAN) on a crystal of ZrPt3 relaxed with PBEsol.

POSCAR file:
```
ZrPt3
1.0
-0.016 -1.958 4.520
-3.463 -3.209 -1.403
3.503 -3.182 -1.367
Pt Zr
3 1
Direct
0.000 0.000 0.500
0.000 0.500 0.000
0.500 0.000 0.000
0.000 0.000 0.000
```

Energy of formation from the pure elements = 5.00 eV per formula unit

=====

VASP calculation (SCAN) on a crystal of RuPtS2Cl relaxed with PBEsol.

POSCAR file:
```
RuPtS2Cl
1.0
4.454 0.000 0.000
0.000 4.454 0.000
0.000 0.000 4.653
Ru S Pt Cl
1 2 1 1
Direct
0.000 0.000 0.000
0.000 0.500 0.000
0.500 0.000 0.000
0.500 0.500 0.500
0.000 0.000 0.500
```

Raw formation energy = 0.81 eV per atom

=====

VASP calculation (SCAN) on a crystal of TlF3 relaxed with PBEsol.

POSCAR file:
```
TlF3
1.0
-0.694 -4.177 -2.358
5.836 -0.637 -0.589
0.235 -3.483 6.100
F Tl
12 4
Direct
0.369 0.535 0.750
0.869 0.965 0.250
0.631 0.465 0.250
0.131 0.035 0.750
0.661 0.162 0.933
0.161 0.338 0.067
0.339 0.838 0.433
0.839 0.662 0.567
0.339 0.838 0.067
0.839 0.662 0.933
0.661 0.162 0.567
0.161 0.338 0.433
0.960 0.371 0.750
0.460 0.129 0.250
0.040 0.629 0.250
0.540 0.871 0.750
```

Raw formation energy = -1.88 eV per atom

=====

VASP calculation (SCAN) on a crystal of MgAlTe relaxed with PBEsol.

POSCAR file:
```
MgAlTe
1.0
4.854 0.000 0.000
2.427 4.204 0.000
2.427 1.401 3.963
Mg Te Al
1 1 1
Direct
0.250 0.250 0.250
0.000 0.000 0.000
0.500 0.500 0.500
```

Raw formation energy = 0.10 eV per atom
Energy above the most stable polymorph in this dataset = 0 meV/atom

=====

VASP calculation (SCAN) on a crystal of Zr4Sc relaxed with PBEsol.

POSCAR file:
```
Zr4Sc
1.0
-0.034 -4.244 -1.309
1.230 -3.558 3.970
-4.859 -2.454 0.548
Sc Zr
1 4
Direct
0.000 0.000 0.000
0.599 0.601 0.200
0.799 0.800 0.601
0.401 0.399 0.800
0.201 0.200 0.399
```

Energy of formation from the pure elements = 0.27 eV per formula unit

=====

VASP calculation (SCAN) on a crystal of Y2Al relaxed with PBEsol.

POSCAR file:
```
Y2Al
1.0
3.133 0.000 0.000
0.000 5.133 0.000
0.000 -2.566 4.445
Y Al
2 1
Direct
0.000 0.333 0.667
0.000 0.667 0.333
0.500 0.000 0.000
```

Energy of formation from the pure elements = 0.02 eV per formula unit

=====

VASP calculation (SCAN) on a crystal of Cd2SbPt2 relaxed with PBEsol.

POSCAR file:
```
Cd2SbPt2
1.0
-3.227 -0.022 -1.981
-1.378 -2.695 2.276
-0.243 6.117 3.945
Sb Pt Cd
1 2 2
Direct
0.000 0.000 0.000
0.403 0.403 0.807
0.597 0.597 0.193
0.250 0.750 0.500
0.750 0.250 0.500
```

Raw formation energy = -0.12 eV per atom